1.
Entry from Alexandria via LeMat-Bulk: a relaxed structure of Ta2MnAg (PBE).

## Properties
Calculated volume, Å³ per atom: 16.3
Calculated formation energy, eV/atom: 0.255
Crystal system: monoclinic
E above lowest polymorph, meV/atom: 108.0

Lattice parameters (Å, degrees): 2.869 3.943 5.829 90.00 98.31 90.00
Sites, in units of the cell vectors:
Ta  0.076  0.000  0.279
Ta  0.924  0.000  0.721
Mn  0.500  0.500  0.500
Ag  0.500  0.500  0.000

---

2.
Entry from Alexandria via LeMat-Bulk: a relaxed structure of SrLi2HS (PBE).

## Properties
Calculated volume, Å³ per atom: 26.6
E, eV/atom: -3.00
Crystal system: tetragonal

Lattice parameters (Å, degrees): 4.293 4.293 7.203 90.00 90.00 90.00
Sites, in units of the cell vectors:
Sr  0.000  0.000  0.000
Li  0.000  0.500  0.500
Li  0.500  0.000  0.500
H  0.500  0.500  0.000
S  0.500  0.500  0.500

---

3.
Entry from Alexandria via LeMat-Bulk: a relaxed structure of CsRbAsI6 (PBE).

## Properties
Calculated volume, Å³ per atom: 58.7
E_form (uncorrected), eV per atom: -0.6439
Crystal system: trigonal

Lattice parameters (Å, degrees): 8.813 8.813 7.855 90.00 90.00 120.00
Sites, in units of the cell vectors:
Cs  0.000  0.000  0.000
Rb  0.333  0.667  0.500
As  0.667  0.333  0.500
I  0.395  0.071  0.711
I  0.395  0.324  0.289
I  0.676  0.071  0.289
I  0.676  0.605  0.711
I  0.929  0.324  0.711
I  0.929  0.605  0.289

---

4.
Entry from Alexandria via LeMat-Bulk: a relaxed structure of Dy5Cu2Hg (PBE).

## Properties
Calculated volume, Å³ per atom: 25.0
Calculated formation energy, eV/atom: -0.230
Crystal system: tetragonal

Lattice parameters (Å, degrees): 8.499 8.499 8.499 124.67 124.67 82.09
Sites, in units of the cell vectors:
Dy  0.000  0.000  0.000
Dy  0.015  0.515  0.814
Dy  0.201  0.015  0.500
Dy  0.299  0.799  0.814
Dy  0.485  0.299  0.500
Dy  0.500  0.500  0.000
Dy  0.515  0.701  0.500
Dy  0.701  0.201  0.186
Dy  0.799  0.985  0.500
Dy  0.985  0.485  0.186
Cu  0.128  0.372  0.500
Cu  0.372  0.872  0.244
Cu  0.628  0.128  0.756
Cu  0.872  0.628  0.500
Hg  0.250  0.250  0.000
Hg  0.750  0.750  0.000

---

> Which formula does entry 3 have?

CsRbAsI6

---

> Among the records above, which one has the lowest calculated volume?

Ta2MnAg